No. 1
K3RbI4: relaxed, PBE.

a = 7.2444 Å, b = 7.2444 Å, c = 7.2444 Å
α = 90.00°, β = 90.00°, γ = 90.00°
With the nearest neighbours (Å) after each atom.
Sites, in units of the cell vectors:
I: 0.0000 0.5000 0.0000  4 K 3.62, 2 Rb 3.62
I: 0.5000 0.5000 0.5000  6 K 3.62
I: 0.0000 0.0000 0.5000  4 K 3.62, 2 Rb 3.62
I: 0.5000 0.0000 0.0000  2 Rb 3.62, 4 K 3.62
K: 0.0000 0.5000 0.5000  6 I 3.62
K: 0.5000 0.5000 0.0000  6 I 3.62
K: 0.5000 0.0000 0.5000  6 I 3.62
Rb: 0.0000 0.0000 0.0000  6 I 3.62

excess energy over the best structure of this formula in the dataset = 0.003 eV/atom
ΔE_f (raw) = -1.484 eV per atom
DOS at the Fermi energy = 0.0000 states/eV/atom
space group = No. 221


No. 2
K3RbI4: relaxed, PBE.

a = 8.8657 Å, b = 8.8724 Å, c = 10.2410 Å
α = 90.00°, β = 90.00°, γ = 109.49°
With the nearest neighbours (Å) after each atom.
Sites, in units of the cell vectors:
I: 0.4992 0.2585 0.8706  4 K 3.55-3.64, 2 Rb 3.68-3.69
I: 0.9954 0.7476 0.3797  5 K 3.56-3.64, 1 Rb 3.68
I: 0.0046 0.2524 0.6203  5 K 3.56-3.64, 1 Rb 3.68
I: 0.5046 0.2524 0.3797  5 K 3.56-3.64, 1 Rb 3.68
I: 0.5008 0.7415 0.1294  4 K 3.55-3.64, 2 Rb 3.68-3.69
I: 0.0008 0.7415 0.8706  4 K 3.55-3.64, 2 Rb 3.68-3.69
I: 0.9992 0.2585 0.1294  4 K 3.55-3.64, 2 Rb 3.68-3.69
I: 0.4954 0.7476 0.6203  5 K 3.56-3.64, 1 Rb 3.68
K: 0.7500 0.0000 0.3757  6 I 3.61-3.62
K: 0.2500 0.5000 0.8734  6 I 3.55-3.64
K: 0.7500 0.5000 0.1266  6 I 3.55-3.64
K: 0.2500 0.0000 0.6243  6 I 3.61-3.62
K: 0.2500 0.5000 0.3758  6 I 3.56-3.64
K: 0.7500 0.5000 0.6242  6 I 3.56-3.64
Rb: 0.2500 0.0000 0.1256  6 I 3.68-3.69
Rb: 0.7500 0.0000 0.8744  6 I 3.68-3.69

excess energy over the best structure of this formula in the dataset = 0.000 eV/atom
ΔE_f (raw) = -1.486 eV per atom
DOS at the Fermi energy = 0.0000 states/eV/atom
space group = No. 13


No. 3
K3Rb12I5: relaxed, PBE.

a = 20.5521 Å, b = 20.5521 Å, c = 20.5521 Å
α = 109.47°, β = 109.47°, γ = 109.47°
With the nearest neighbours (Å) after each atom.
Sites, in units of the cell vectors:
Rb: 0.1140 0.7018 0.5250  2 I 3.59-3.78
Rb: 0.4110 0.0250 0.3232  2 I 3.59-3.78
Rb: 0.5890 0.9750 0.6768  2 I 3.59-3.78
Rb: 0.6140 0.5890 0.9122  2 I 3.59-3.78
Rb: 0.5878 0.7018 0.6768  2 I 3.59-3.78
Rb: 0.9750 0.5890 0.1768  2 I 3.59-3.78
Rb: 0.2018 0.6768 0.0878  2 I 3.59-3.78
Rb: 0.9122 0.8232 0.7982  2 I 3.59-3.78
Rb: 0.7018 0.5878 0.1768  2 I 3.59-3.78
Rb: 0.5250 0.3232 0.9110  2 I 3.59-3.78
Rb: 0.2018 0.5250 0.6140  2 I 3.59-3.78
Rb: 0.1768 0.0890 0.9750  2 I 3.59-3.78
Rb: 0.2982 0.8860 0.9750  2 I 3.59-3.78
Rb: 0.2982 0.4122 0.8232  2 I 3.59-3.78
Rb: 0.3860 0.4110 0.0878  2 I 3.59-3.78
Rb: 0.4122 0.1140 0.5890  2 I 3.59-3.78
Rb: 0.8232 0.9110 0.0250  2 I 3.59-3.78
Rb: 0.1140 0.4122 0.0890  2 I 3.59-3.78
Rb: 0.0878 0.1768 0.2018  2 I 3.59-3.78
Rb: 0.4750 0.7982 0.8860  2 I 3.59-3.78
Rb: 0.5878 0.8860 0.4110  2 I 3.59-3.78
Rb: 0.3860 0.9750 0.7982  2 I 3.59-3.78
Rb: 0.8232 0.9122 0.2982  2 I 3.59-3.78
Rb: 0.7018 0.1140 0.0250  2 I 3.59-3.78
Rb: 0.0890 0.9122 0.1140  2 I 3.59-3.78
Rb: 0.9110 0.8232 0.5250  2 I 3.59-3.78
Rb: 0.8860 0.2982 0.4750  2 I 3.59-3.78
Rb: 0.5250 0.2018 0.1140  2 I 3.59-3.78
Rb: 0.4110 0.3860 0.5878  2 I 3.59-3.78
Rb: 0.3232 0.5250 0.4110  2 I 3.59-3.78
Rb: 0.0878 0.9110 0.3860  2 I 3.59-3.78
Rb: 0.9750 0.3860 0.2982  2 I 3.59-3.78
Rb: 0.6768 0.2018 0.5878  2 I 3.59-3.78
Rb: 0.5890 0.6140 0.4122  2 I 3.59-3.78
Rb: 0.1768 0.0878 0.7018  2 I 3.59-3.78
Rb: 0.7982 0.4750 0.3860  2 I 3.59-3.78
Rb: 0.9110 0.0878 0.8860  2 I 3.59-3.78
Rb: 0.6140 0.0250 0.2018  2 I 3.59-3.78
Rb: 0.0890 0.1768 0.4750  2 I 3.59-3.78
Rb: 0.7982 0.3232 0.9122  2 I 3.59-3.78
Rb: 0.6768 0.4750 0.5890  2 I 3.59-3.78
Rb: 0.0250 0.6140 0.7018  2 I 3.59-3.78
Rb: 0.4750 0.6768 0.0890  2 I 3.59-3.78
Rb: 0.3232 0.7982 0.4122  2 I 3.59-3.78
Rb: 0.8860 0.5878 0.9110  2 I 3.59-3.78
Rb: 0.4122 0.2982 0.3232  2 I 3.59-3.78
Rb: 0.9122 0.0890 0.6140  2 I 3.59-3.78
Rb: 0.0250 0.4110 0.8232  2 I 3.59-3.78
I: 0.1250 0.7500 0.3750  4 Rb 3.59
I: 0.3750 0.2500 0.1250  4 Rb 3.59
I: 0.5000 0.0000 0.5000  6 Rb 3.78
I: 0.5000 0.5000 0.0000  6 Rb 3.78
I: 0.5000 0.0000 0.0000  6 Rb 3.78
I: 0.5000 0.5000 0.5000  6 Rb 3.78
I: 0.3750 0.1250 0.7500  4 Rb 3.59
I: 0.7500 0.6250 0.3750  4 Rb 3.59
I: 0.0000 0.0000 0.0000  6 Rb 3.78
I: 0.2500 0.3750 0.6250  4 Rb 3.59
I: 0.1250 0.3750 0.2500  4 Rb 3.59
I: 0.6250 0.8750 0.2500  4 Rb 3.59
I: 0.6250 0.7500 0.8750  4 Rb 3.59
I: 0.0000 0.0000 0.5000  6 Rb 3.78
I: 0.7500 0.1250 0.8750  4 Rb 3.59
I: 0.0000 0.5000 0.5000  6 Rb 3.78
I: 0.0000 0.5000 0.0000  6 Rb 3.78
I: 0.2500 0.8750 0.1250  4 Rb 3.59
I: 0.8750 0.6250 0.7500  4 Rb 3.59
I: 0.8750 0.2500 0.6250  4 Rb 3.59
K: 0.3750 0.6250 0.2500  8 Rb 4.66-4.68
K: 0.1250 0.2500 0.8750  8 Rb 4.66-4.68
K: 0.3750 0.7500 0.6250  8 Rb 4.66-4.68
K: 0.8750 0.7500 0.1250  8 Rb 4.66-4.68
K: 0.6250 0.2500 0.3750  8 Rb 4.66-4.68
K: 0.7500 0.8750 0.6250  8 Rb 4.66-4.68
K: 0.8750 0.1250 0.2500  8 Rb 4.66-4.68
K: 0.7500 0.3750 0.1250  8 Rb 4.66-4.68
K: 0.2500 0.6250 0.8750  8 Rb 4.66-4.68
K: 0.1250 0.8750 0.7500  8 Rb 4.66-4.68
K: 0.2500 0.1250 0.3750  8 Rb 4.66-4.68
K: 0.6250 0.3750 0.7500  8 Rb 4.66-4.68

ΔE_f (raw) = -0.614 eV per atom
DOS at the Fermi energy = 0.6672 states/eV/atom
space group = No. 230


No. 4
K2RbI5: relaxed, PBE.

a = 6.8851 Å, b = 5.8189 Å, c = 25.0461 Å
α = 90.00°, β = 90.00°, γ = 126.27°
With the nearest neighbours (Å) after each atom.
Sites, in units of the cell vectors:
I: 0.1252 0.2504 0.1261  1 I 3.27, 3 K 3.57-3.67
I: 0.8748 0.7496 0.6261  1 I 3.27, 3 K 3.57-3.67
I: 0.1252 0.2504 0.3739  1 I 3.27, 3 K 3.57-3.67
I: 0.8748 0.7496 0.8739  1 I 3.27, 3 K 3.57-3.67
I: 0.6175 0.2350 0.5379  1 I 2.91
I: 0.3825 0.7650 0.4621  1 I 2.91
I: 0.6175 0.2350 0.9621  1 I 2.91
I: 0.3825 0.7650 0.0379  1 I 2.91
I: 0.2684 0.5367 0.7500  3 Rb 3.60-3.64, 2 K 3.61
I: 0.7316 0.4633 0.2500  3 Rb 3.60-3.64, 2 K 3.61
K: 0.7481 0.4962 0.3941  6 I 3.57-3.83
K: 0.2519 0.5038 0.8941  6 I 3.57-3.83
K: 0.2519 0.5038 0.6059  6 I 3.57-3.83
K: 0.7481 0.4962 0.1059  6 I 3.57-3.83
Rb: 0.3435 0.6869 0.2500  5 I 3.60-3.72
Rb: 0.6565 0.3131 0.7500  5 I 3.60-3.72

ΔE_f (raw) = -1.094 eV per atom
DOS at the Fermi energy = 0.0000 states/eV/atom
space group = No. 63


No. 5
K12Rb5I3: relaxed, PBE.

a = 20.9573 Å, b = 20.9573 Å, c = 20.9573 Å
α = 109.47°, β = 109.47°, γ = 109.47°
With the nearest neighbours (Å) after each atom.
Sites, in units of the cell vectors:
K: 0.1262 0.7493 0.5945  1 I 3.46
K: 0.0945 0.4682 0.8451  1 I 3.46
K: 0.6262 0.5318 0.8769  1 I 3.46
K: 0.8451 0.8769 0.2507  1 I 3.46
K: 0.1262 0.3769 0.0318  1 I 3.46
K: 0.0945 0.6262 0.7493  1 I 3.46
K: 0.3769 0.2507 0.3451  1 I 3.46
K: 0.8738 0.2507 0.4055  1 I 3.46
K: 0.4682 0.3738 0.6231  1 I 3.46
K: 0.4055 0.6549 0.0318  1 I 3.46
K: 0.6262 0.0945 0.2493  1 I 3.46
K: 0.3451 0.7507 0.3769  1 I 3.46
K: 0.7493 0.1262 0.0945  1 I 3.46
K: 0.1549 0.1231 0.7493  1 I 3.46
K: 0.0318 0.1549 0.4055  1 I 3.46
K: 0.8738 0.6231 0.9682  1 I 3.46
K: 0.9055 0.5318 0.1549  1 I 3.46
K: 0.9682 0.1231 0.8738  1 I 3.46
K: 0.2507 0.3769 0.8451  1 I 3.46
K: 0.2493 0.6549 0.1231  1 I 3.46
K: 0.5318 0.6262 0.3769  1 I 3.46
K: 0.6549 0.2493 0.6231  1 I 3.46
K: 0.1231 0.9682 0.3738  1 I 3.46
K: 0.1231 0.1549 0.2493  1 I 3.46
K: 0.8769 0.8451 0.7507  1 I 3.46
K: 0.3738 0.9055 0.7507  1 I 3.46
K: 0.5945 0.3451 0.9682  1 I 3.46
K: 0.5318 0.9055 0.6549  1 I 3.46
K: 0.2507 0.8738 0.9055  1 I 3.46
K: 0.6549 0.4055 0.5318  1 I 3.46
K: 0.1549 0.0318 0.9055  1 I 3.46
K: 0.7493 0.6231 0.1549  1 I 3.46
K: 0.6231 0.7493 0.6549  1 I 3.46
K: 0.0318 0.8769 0.1262  1 I 3.46
K: 0.3738 0.4682 0.1231  1 I 3.46
K: 0.8451 0.9682 0.0945  1 I 3.46
K: 0.5945 0.2493 0.1262  1 I 3.46
K: 0.4682 0.0945 0.3451  1 I 3.46
K: 0.3769 0.1262 0.5318  1 I 3.46
K: 0.8769 0.0318 0.6262  1 I 3.46
K: 0.9682 0.8451 0.5945  1 I 3.46
K: 0.7507 0.4055 0.3738  1 I 3.46
K: 0.2493 0.5945 0.6262  1 I 3.46
K: 0.9055 0.3738 0.2507  1 I 3.46
K: 0.6231 0.8738 0.4682  1 I 3.46
K: 0.3451 0.5945 0.4682  1 I 3.46
K: 0.7507 0.3451 0.8769  1 I 3.46
K: 0.4055 0.7507 0.8738  1 I 3.46
I: 0.8750 0.1250 0.2500  4 K 3.46
I: 0.6250 0.3750 0.7500  4 K 3.46
I: 0.2500 0.6250 0.8750  4 K 3.46
I: 0.3750 0.7500 0.6250  4 K 3.46
I: 0.7500 0.8750 0.6250  4 K 3.46
I: 0.8750 0.7500 0.1250  4 K 3.46
I: 0.2500 0.1250 0.3750  4 K 3.46
I: 0.6250 0.2500 0.3750  4 K 3.46
I: 0.7500 0.3750 0.1250  4 K 3.46
I: 0.1250 0.2500 0.8750  4 K 3.46
I: 0.1250 0.8750 0.7500  4 K 3.46
I: 0.3750 0.6250 0.2500  4 K 3.46
Rb: 0.1250 0.7500 0.3750  4 K 4.60
Rb: 0.0000 0.0000 0.0000  6 K 4.31
Rb: 0.6250 0.7500 0.8750  4 K 4.60
Rb: 0.0000 0.0000 0.5000  6 K 4.31
Rb: 0.7500 0.6250 0.3750  4 K 4.60
Rb: 0.8750 0.2500 0.6250  4 K 4.60
Rb: 0.0000 0.5000 0.0000  6 K 4.31
Rb: 0.3750 0.1250 0.7500  4 K 4.60
Rb: 0.2500 0.3750 0.6250  4 K 4.60
Rb: 0.2500 0.8750 0.1250  4 K 4.60
Rb: 0.1250 0.3750 0.2500  4 K 4.60
Rb: 0.5000 0.5000 0.5000  6 K 4.31
Rb: 0.5000 0.0000 0.5000  6 K 4.31
Rb: 0.8750 0.6250 0.7500  4 K 4.60
Rb: 0.5000 0.5000 0.0000  6 K 4.31
Rb: 0.3750 0.2500 0.1250  4 K 4.60
Rb: 0.6250 0.8750 0.2500  4 K 4.60
Rb: 0.0000 0.5000 0.5000  6 K 4.31
Rb: 0.5000 0.0000 0.0000  6 K 4.31
Rb: 0.7500 0.1250 0.8750  4 K 4.60

ΔE_f (raw) = -0.223 eV per atom
DOS at the Fermi energy = 0.5982 states/eV/atom
space group = No. 230


No. 6
K2RbI2: relaxed, PBE.

a = 6.5237 Å, b = 6.5237 Å, c = 8.5681 Å
α = 67.62°, β = 67.62°, γ = 90.00°
With the nearest neighbours (Å) after each atom.
Sites, in units of the cell vectors:
K: 0.3321 0.3321 0.3358  4 I 3.47
K: 0.6679 0.6679 0.6642  4 I 3.47
I: 0.2500 0.7500 0.5000  4 K 3.47
I: 0.7500 0.2500 0.5000  4 K 3.47
Rb: 0.0000 0.0000 0.0000  10 K 4.80-5.21, 8 I 4.87

excess energy over the best structure of this formula in the dataset = 0.042 eV/atom
ΔE_f (raw) = -1.024 eV per atom
DOS at the Fermi energy = 0.4778 states/eV/atom
space group = No. 139


No. 7
KRb3I: relaxed, PBE.

a = 7.9003 Å, b = 7.9003 Å, c = 7.9003 Å
α = 90.00°, β = 90.00°, γ = 90.00°
With the nearest neighbours (Å) after each atom.
Sites, in units of the cell vectors:
I: 0.5000 0.5000 0.5000  12 Rb 5.59
Rb: 0.0000 0.0000 0.5000  2 K 3.95
Rb: 0.0000 0.5000 0.0000  2 K 3.95
Rb: 0.5000 0.0000 0.0000  2 K 3.95
K: 0.0000 0.0000 0.0000  6 Rb 3.95

excess energy over the best structure of this formula in the dataset = 0.416 eV/atom
ΔE_f (raw) = -0.108 eV per atom
DOS at the Fermi energy = 1.5977 states/eV/atom
space group = No. 221


No. 8
K2RbI2: relaxed, PBE.

a = 6.2622 Å, b = 6.2622 Å, c = 9.5886 Å
α = 70.94°, β = 70.94°, γ = 90.00°
With the nearest neighbours (Å) after each atom.
Sites, in units of the cell vectors:
K: 0.2500 0.7500 0.5000  4 I 3.49
K: 0.7500 0.2500 0.5000  4 I 3.49
I: 0.3402 0.3402 0.3196  4 K 3.49
I: 0.6598 0.6598 0.6804  4 K 3.49
Rb: 0.0000 0.0000 0.0000  10 I 5.20-5.79, 8 K 5.28

excess energy over the best structure of this formula in the dataset = 0.066 eV/atom
ΔE_f (raw) = -1.000 eV per atom
DOS at the Fermi energy = 0.5117 states/eV/atom
space group = No. 139


> Look up the DOS at the Fermi energy of the third one.

0.6672 states/eV/atom


> Which of these has the highest DOS at the Fermi energy?

KRb3I


Repeat the seventh record exactly.
KRb3I: relaxed, PBE.

a = 7.9003 Å, b = 7.9003 Å, c = 7.9003 Å
α = 90.00°, β = 90.00°, γ = 90.00°
With the nearest neighbours (Å) after each atom.
Sites, in units of the cell vectors:
I: 0.5000 0.5000 0.5000  12 Rb 5.59
Rb: 0.0000 0.0000 0.5000  2 K 3.95
Rb: 0.0000 0.5000 0.0000  2 K 3.95
Rb: 0.5000 0.0000 0.0000  2 K 3.95
K: 0.0000 0.0000 0.0000  6 Rb 3.95

excess energy over the best structure of this formula in the dataset = 0.416 eV/atom
ΔE_f (raw) = -0.108 eV per atom
DOS at the Fermi energy = 1.5977 states/eV/atom
space group = No. 221


> Look up the ΔE_f (raw) of the fifth one.

-0.223 eV per atom